Compound: KBaO
Source: Alexandria
Functional: PBE
Structure: relaxed

Computed properties:
SG: Cmcm, No. 63
ΔE to the lowest computed polymorph, meV/atom: 24.4

a b c (Å): 9.618 9.618 5.488
angles (deg): 90.00 90.00 154.54
Atoms (fractional coordinates):
K (0.083, 0.917, 0.750)
K (0.917, 0.083, 0.250)
Ba (0.297, 0.703, 0.750)
Ba (0.703, 0.297, 0.250)
O (0.281, 0.719, 0.250)
O (0.719, 0.281, 0.750)

Compound: K2BaO4
Source: Alexandria
Functional: PBE
Structure: relaxed

Computed properties:
SG: Cc, No. 9

a b c (Å): 6.214 6.214 7.680
angles (deg): 111.24 111.24 86.15
Atoms (fractional coordinates):
K (0.000, 0.000, 0.000)
K (0.000, 0.000, 0.500)
K (0.000, 0.500, 0.001)
K (0.500, 0.000, 0.501)
Ba (0.417, 0.582, 0.751)
Ba (0.582, 0.417, 0.251)
O (0.185, 0.354, 0.327)
O (0.224, 0.614, 0.393)
O (0.354, 0.185, 0.827)
O (0.386, 0.776, 0.108)
O (0.614, 0.224, 0.893)
O (0.646, 0.814, 0.174)
O (0.776, 0.386, 0.608)
O (0.814, 0.646, 0.674)

Compound: KBaO
Source: Alexandria
Functional: PBE
Structure: relaxed

Computed properties:
SG: P3m1, No. 156
ΔE to the lowest computed polymorph, meV/atom: 33.5

a b c (Å): 4.083 4.083 7.393
angles (deg): 90.00 90.00 120.00
Atoms (fractional coordinates):
K (0.000, 0.000, 0.000)
Ba (0.667, 0.333, 0.589)
O (0.333, 0.667, 0.729)

Compound: K2Ba2OsO6
Source: Alexandria
Functional: PBE
Structure: relaxed

Computed properties:
SG: C2/m, No. 12

a b c (Å): 6.359 6.359 6.573
angles (deg): 96.87 96.87 118.32
Atoms (fractional coordinates):
K (0.145, 0.855, 0.000)
K (0.855, 0.145, 0.000)
Ba (0.338, 0.662, 0.500)
Ba (0.662, 0.338, 0.500)
Os (0.000, 0.000, 0.500)
O (0.039, 0.299, 0.670)
O (0.201, 0.201, 0.315)
O (0.299, 0.039, 0.670)
O (0.701, 0.961, 0.330)
O (0.799, 0.799, 0.685)
O (0.961, 0.701, 0.330)

Compound: K2BaOs2O7
Source: Alexandria
Functional: PBE
Structure: relaxed

Computed properties:
SG: Imm2, No. 44

a b c (Å): 10.419 10.419 10.419
angles (deg): 158.54 36.63 150.67
Atoms (fractional coordinates):
K (0.216, 0.000, 0.216)
K (0.784, 0.000, 0.784)
Ba (0.963, 0.463, 0.500)
Os (0.373, 0.469, 0.904)
Os (0.565, 0.469, 0.096)
O (0.015, 0.101, 0.914)
O (0.188, 0.101, 0.086)
O (0.313, 0.502, 0.810)
O (0.411, 0.006, 0.406)
O (0.496, 0.496, 0.000)
O (0.600, 0.006, 0.594)
O (0.692, 0.502, 0.190)

Compound: KBa2Os3O12
Source: Alexandria
Functional: PBE
Structure: relaxed

Computed properties:
SG: R-3m, No. 166

a b c (Å): 7.093 7.093 7.093
angles (deg): 62.37 62.37 62.37
Atoms (fractional coordinates):
K (0.000, 0.000, 0.000)
Ba (0.393, 0.393, 0.393)
Ba (0.607, 0.607, 0.607)
Os (0.000, 0.000, 0.500)
Os (0.000, 0.500, 0.000)
Os (0.500, 0.000, 0.000)
O (0.128, 0.721, 0.721)
O (0.140, 0.140, 0.525)
O (0.140, 0.525, 0.140)
O (0.279, 0.279, 0.872)
O (0.279, 0.872, 0.279)
O (0.475, 0.860, 0.860)
O (0.525, 0.140, 0.140)
O (0.721, 0.128, 0.721)
O (0.721, 0.721, 0.128)
O (0.860, 0.475, 0.860)
O (0.860, 0.860, 0.475)
O (0.872, 0.279, 0.279)

no.,ΔE_f (raw) (eV per atom)
1,-1.50
2,-1.31
3,-1.49
4,-1.75
5,-1.36
6,-1.54